# 1
The following is a DFT calculation (PBE) of Li2MgPb2 after structural relaxation.

Unit cell a=8.110 b=8.110 c=3.599 alpha=90.00 beta=90.00 gamma=90.00
Element x y z (fractional)
Pb  0.358  0.858  0.000
Pb  0.858  0.642  0.000
Pb  0.642  0.142  0.000
Pb  0.142  0.358  0.000
Mg  0.000  0.000  0.000
Mg  0.500  0.500  0.000
Li  0.156  0.656  0.500
Li  0.656  0.844  0.500
Li  0.844  0.344  0.500
Li  0.344  0.156  0.500

Computed properties:
space group	P4/mbm
DFT formation energy	-16	kJ per mole of atoms
V	23.7	Å³/atom
mass density	6.35	g/cm³

---

# 2
The following is a DFT calculation (PBE) of Li3Mg7Pb after structural relaxation.

Unit cell a=7.623 b=6.282 c=6.282 alpha=120.00 beta=90.00 gamma=90.00
Element x y z (fractional)
Li  0.785  0.499  0.501
Li  0.785  0.499  0.999
Li  0.785  0.001  0.501
Mg  0.106  0.167  0.833
Mg  0.106  0.167  0.334
Mg  0.102  0.667  0.333
Mg  0.453  0.833  0.167
Mg  0.453  0.335  0.167
Mg  0.453  0.833  0.665
Mg  0.106  0.666  0.833
Pb  0.477  0.333  0.667

Computed properties:
space group	P3m1
DFT formation energy	1	kJ per mole of atoms
V	23.7	Å³/atom
mass density	2.54	g/cm³